Compound: TaSeI2N
Source: Alexandria
Functional: PBE
Structure: optimized geometry

The structure belongs to space group P4/mmm (No. 123); the cell edges are 5.7303, 5.7303 and 4.7982 Å and the angles 90.00°, 90.00° and 90.00°. Symmetry generates all atoms from Ta at (0.0000, 0.0000, 0.0000), Se at (0.0000, 0.0000, 0.5000), I at (0.0000, 0.5000, 0.5000) and N at (0.5000, 0.5000, 0.0000).

The formation energy (no corrections) is 2.229 eV/atom. For the size of the total moment, the calculation gives 0.00 μB per formula unit.

=====

Compound: Cs3KBr
Source: Alexandria
Functional: PBE
Structure: optimized geometry

The structure belongs to space group Pm-3m (No. 221); the cell edges are 7.3640, 7.3640 and 7.3640 Å and the angles 90.00°, 90.00° and 90.00°. Symmetry generates all atoms from Cs at (0.0000, 0.0000, 0.5000), K at (0.5000, 0.5000, 0.5000) and Br at (0.0000, 0.0000, 0.0000).

The formation energy (no corrections) is -0.685 eV/atom. For the size of the total moment, the calculation gives 0.00 μB per formula unit.

=====

Compound: CaSiF2
Source: Alexandria
Functional: PBE
Structure: optimized geometry

The structure belongs to space group R-3m (No. 166, hexagonal axes); the cell edges are 3.3684, 3.3684 and 26.6694 Å and the angles 90.00°, 90.00° and 120.00°. Symmetry generates all atoms from Ca at (0.0000, 0.0000, 0.0000), Si at (0.0000, 0.0000, 0.5000) and F at (0.0000, 0.0000, 0.3739).

The formation energy (no corrections) is -2.200 eV/atom. For the size of the total moment, the calculation gives 0.00 μB per formula unit.

=====

Compound: Sr2TbUSe6
Source: Alexandria
Functional: PBE
Structure: optimized geometry

The structure belongs to space group P2_1/c (No. 14); the cell edges are 7.2086, 7.8043 and 12.8048 Å and the angles 90.00°, 124.20° and 90.00°. Symmetry generates all atoms from Sr at (0.2170, 0.0895, 0.2493), Tb at (0.0000, 0.0000, 0.5000), U at (0.5000, 0.0000, 0.0000), Se at (0.1302, 0.1873, 0.9399), Se at (0.2591, 0.6970, 0.9377) and Se at (0.3739, 0.0339, 0.7549).

The formation energy (no corrections) is -1.667 eV/atom. For the size of the total moment, the calculation gives 1.00 μB per formula unit.

=====

Compound: Rb2YOsBr6
Source: Alexandria
Functional: PBE
Structure: optimized geometry

The structure belongs to space group Fm-3m (No. 225); the cell edges are 10.8590, 10.8590 and 10.8590 Å and the angles 90.00°, 90.00° and 90.00°. Symmetry generates all atoms from Rb at (0.2500, 0.2500, 0.2500), Y at (0.0000, 0.0000, 0.0000), Os at (0.0000, 0.0000, 0.5000) and Br at (0.0000, 0.0000, 0.2588).

The formation energy (no corrections) is -0.994 eV/atom. For the size of the total moment, the calculation gives 1.00 μB per formula unit.

=====

Compound: ZnPdF3
Source: Alexandria
Functional: PBE
Structure: optimized geometry

The structure belongs to space group Pm-3m (No. 221); the cell edges are 4.0607, 4.0607 and 4.0607 Å and the angles 90.00°, 90.00° and 90.00°. Symmetry generates all atoms from Zn at (0.0000, 0.0000, 0.0000), Pd at (0.5000, 0.5000, 0.5000) and F at (0.0000, 0.0000, 0.5000).

The formation energy (no corrections) is -1.352 eV/atom. For the size of the total moment, the calculation gives 1.00 μB per formula unit.

=====

Compound: KNi2As
Source: Alexandria
Functional: PBE
Structure: optimized geometry

The structure belongs to space group Pmm2 (No. 25); the cell edges are 2.8748, 3.4978 and 7.2815 Å and the angles 90.00°, 90.00° and 90.00°. Symmetry generates all atoms from K at (0.0000, 0.0000, 0.0000), Ni at (0.0000, 0.0000, 0.4962), Ni at (0.5000, 0.5000, 0.3372) and As at (0.5000, 0.5000, 0.6501).

As for the energy of formation: 0.13 eV per atom. For the size of the total moment, the calculation gives 0.00 μB per formula unit.

=====

Compound: InTcP
Source: Alexandria
Functional: PBE
Structure: optimized geometry

The structure belongs to space group C2/m (No. 12); the cell edges are 6.9064, 3.9847 and 8.6617 Å and the angles 90.00°, 105.35° and 90.00°. Symmetry generates all atoms from In at (0.1229, 0.0000, 0.3688), Tc at (0.1258, 0.5000, 0.8781) and P at (0.2198, 0.5000, 0.1594).

As for the energy of formation: -0.19 eV per atom. For the size of the total moment, the calculation gives 0.00 μB per formula unit.

=====

Compound: Li2HgSe
Source: Alexandria
Functional: PBE
Structure: optimized geometry

The structure belongs to space group I-4m2 (No. 119); the cell edges are 3.9779, 3.9779 and 9.8254 Å and the angles 90.00°, 90.00° and 90.00°. Symmetry generates all atoms from Li at (0.0000, 0.0000, 0.0000), Li at (0.0000, 0.5000, 0.2500), Hg at (0.0000, 0.0000, 0.5000) and Se at (0.0000, 0.5000, 0.7500).

The formation energy (no corrections) is -0.592 eV/atom. For the size of the total moment, the calculation gives 0.00 μB per formula unit.

=====

Compound: RbTl4Sb2Pb
Source: Alexandria
Functional: PBE
Structure: optimized geometry

The structure belongs to space group P4/mmm (No. 123); the cell edges are 4.6252, 4.6252 and 13.9480 Å and the angles 90.00°, 90.00° and 90.00°. Symmetry generates all atoms from Rb at (0.0000, 0.0000, 0.0000), Tl at (0.0000, 0.5000, 0.2298), Sb at (0.5000, 0.5000, 0.3897) and Pb at (0.0000, 0.0000, 0.5000).

The formation energy (no corrections) is 0.021 eV/atom. For the size of the total moment, the calculation gives 0.00 μB per formula unit.

=====

Compound: Rb5Pt
Source: Alexandria
Functional: PBE
Structure: optimized geometry

The structure belongs to space group P6/mmm (No. 191); the cell edges are 7.6563, 7.6563 and 7.9673 Å and the angles 90.00°, 90.00° and 120.00°. Symmetry generates all atoms from Rb at (0.0000, 0.5000, 0.0000), Rb at (0.3333, 0.6667, 0.5000) and Pt at (0.0000, 0.0000, 0.5000).

As for the energy of formation: 0.56 eV per atom. For the size of the total moment, the calculation gives 0.00 μB per formula unit.

=====

Compound: Na3Cd8Au3
Source: Alexandria
Functional: PBE
Structure: optimized geometry

The structure belongs to space group Immm (No. 71); the cell edges are 4.8562, 10.9217 and 12.3034 Å and the angles 90.00°, 90.00° and 90.00°. Symmetry generates all atoms from Na at (0.0000, 0.0000, 0.0000), Na at (0.0000, 0.0000, 0.2888), Cd at (0.0000, 0.2847, 0.1351), Cd at (0.0000, 0.3680, 0.3671), Au at (0.0000, 0.1452, 0.5000) and Au at (0.0000, 0.5000, 0.0000).

As for the energy of formation: -0.15 eV per atom. For the size of the total moment, the calculation gives 0.00 μB per formula unit.

=====

Compound: TbDy3Pb2
Source: Alexandria
Functional: PBE
Structure: optimized geometry

The structure belongs to space group P-4m2 (No. 115); the cell edges are 4.5605, 4.5605 and 8.5883 Å and the angles 90.00°, 90.00° and 90.00°. Symmetry generates all atoms from Tb at (0.0000, 0.0000, 0.0000), Dy at (0.0000, 0.5000, 0.3420), Dy at (0.5000, 0.5000, 0.0000) and Pb at (0.0000, 0.5000, 0.7140).

As for the energy of formation: -0.42 eV per atom. For the size of the total moment, the calculation gives 0.00 μB per formula unit.

=====

Compound: CrAs2Ir
Source: Alexandria
Functional: PBE
Structure: optimized geometry

The structure belongs to space group R3m (No. 160, hexagonal axes); the cell edges are 2.8828, 2.8828 and 29.7018 Å and the angles 90.00°, 90.00° and 120.00°. Symmetry generates all atoms from Cr at (0.0000, 0.0000, 0.0000), As at (0.0000, 0.0000, 0.2694), As at (0.0000, 0.0000, 0.4714) and Ir at (0.0000, 0.0000, 0.7379).

As for the energy of formation: 0.12 eV per atom. For the size of the total moment, the calculation gives 2.07 μB per formula unit.

=====

Compound: CaZn4Ge2
Source: Alexandria
Functional: PBE
Structure: optimized geometry

The structure belongs to space group P2/m (No. 10); the cell edges are 4.1167, 4.1013 and 7.8690 Å and the angles 90.00°, 104.40° and 90.00°. Symmetry generates all atoms from Ca at (0.0000, 0.0000, 0.0000), Zn at (0.1844, 0.5000, 0.3729), Zn at (0.3072, 0.0000, 0.6151) and Ge at (0.4154, 0.5000, 0.8306).

As for the energy of formation: -0.21 eV per atom. For the size of the total moment, the calculation gives 0.00 μB per formula unit.

=====

Compound: SrTaRe
Source: Alexandria
Functional: PBE
Structure: optimized geometry

The structure belongs to space group F-43m (No. 216); the cell edges are 6.5904, 6.5904 and 6.5904 Å and the angles 90.00°, 90.00° and 90.00°. Symmetry generates all atoms from Sr at (0.0000, 0.0000, 0.0000), Ta at (0.0000, 0.0000, 0.5000) and Re at (0.2500, 0.2500, 0.7500).

As for the energy of formation: 1.10 eV per atom. For the size of the total moment, the calculation gives 0.00 μB per formula unit.

=====

Compound: Y3CdO
Source: Alexandria
Functional: PBE
Structure: optimized geometry

The structure belongs to space group C2/c (No. 15); the cell edges are 11.4221, 13.4931 and 6.1001 Å and the angles 90.00°, 93.36° and 90.00°. Symmetry generates all atoms from Y at (0.1119, 0.1681, 0.0693), Y at (0.1144, 0.4308, 0.0941), Y at (0.1197, 0.3072, 0.5925), Cd at (0.1584, 0.0682, 0.5620), O at (0.0000, 0.3002, 0.2500) and O at (0.0000, 0.4371, 0.7500).

The formation energy (no corrections) is -1.179 eV/atom. For the size of the total moment, the calculation gives 0.00 μB per formula unit.

=====

Compound: SmMgAs2Rh5
Source: Alexandria
Functional: PBE
Structure: optimized geometry

The structure belongs to space group P4/mmm (No. 123); the cell edges are 4.1043, 4.1043 and 10.3728 Å and the angles 90.00°, 90.00° and 90.00°. Symmetry generates all atoms from Sm at (0.0000, 0.0000, 0.0000), Mg at (0.0000, 0.0000, 0.5000), As at (0.5000, 0.5000, 0.2282), Rh at (0.0000, 0.5000, 0.3431) and Rh at (0.5000, 0.5000, 0.0000).

As for the energy of formation: -0.37 eV per atom. For the size of the total moment, the calculation gives 0.00 μB per formula unit.

=====

Compound: BaCa2P6N12
Source: Alexandria
Functional: PBE
Structure: optimized geometry

The structure belongs to space group Pa-3 (No. 205); the cell edges are 10.0142, 10.0142 and 10.0142 Å and the angles 90.00°, 90.00° and 90.00°. Symmetry generates all atoms from Ba at (0.0000, 0.0000, 0.0000), Ca at (0.1249, 0.6249, 0.8751), P at (0.1196, 0.1900, 0.3468), N at (0.0071, 0.0886, 0.2849) and N at (0.1212, 0.1653, 0.7691).

The formation energy (no corrections) is -0.859 eV/atom. For the size of the total moment, the calculation gives 0.00 μB per formula unit.

=====

Compound: SrHgCl
Source: Alexandria
Functional: PBE
Structure: optimized geometry

The structure belongs to space group P2_1/m (No. 11); the cell edges are 4.8681, 4.7940 and 8.5449 Å and the angles 90.00°, 96.47° and 90.00°. Symmetry generates all atoms from Sr at (0.2131, 0.2500, 0.2947), Hg at (0.3078, 0.7500, 0.0082) and Cl at (0.2484, 0.7500, 0.5029).

The formation energy (no corrections) is -1.345 eV/atom. For the size of the total moment, the calculation gives 0.00 μB per formula unit.